# 1
Below is a geometry-optimized YZn2Ag3 structure, with properties calculated at the PBE level.

Computed properties:
- symmetry = Cmcm (63)
- magnetization (μB per cell) = 0.00
- polymorph energy (0 for the lowest one) (eV/atom) = 0.049
- E_form (kcal/mol of atoms) = -3.56

Cell lengths 6.5920, 6.5920, 5.3926 Å; angles 90.00, 90.00, 85.78 degrees
Atoms (fractional coordinates):
Y1 0.1614 0.8386 0.7500
Y2 0.8386 0.1614 0.2500
Zn1 0.2566 0.2566 0.0000
Zn2 0.2566 0.2566 0.5000
Zn3 0.7434 0.7434 0.0000
Zn4 0.7434 0.7434 0.5000
Ag1 0.0637 0.5981 0.2500
Ag2 0.4019 0.9363 0.2500
Ag3 0.4859 0.5141 0.2500
Ag4 0.5141 0.4859 0.7500
Ag5 0.5981 0.0637 0.7500
Ag6 0.9363 0.4019 0.7500

---

# 2
Below is a geometry-optimized YZnAg structure, with properties calculated at the PBE level.

Computed properties:
- symmetry = I4mm (107)
- magnetization (μB per cell) = 0.14
- E_form (kcal/mol of atoms) = -5.74

Cell lengths 5.6080, 5.6080, 5.6080 Å; angles 143.14, 143.14, 53.11 degrees
Atoms (fractional coordinates):
Y1 0.0000 0.0000 0.0000
Zn1 0.3212 0.3212 0.0000
Ag1 0.6903 0.6903 0.0000

---

# 3
Below is a geometry-optimized YZn2Ag3 structure, with properties calculated at the PBE level.

Computed properties:
- symmetry = P6_3/mmc (194)
- magnetization (μB per cell) = 0.00
- polymorph energy (0 for the lowest one) (eV/atom) = 0.000
- E_form (kcal/mol of atoms) = -4.68

Cell lengths 4.6189, 4.6189, 12.3806 Å; angles 90.00, 90.00, 120.00 degrees
Atoms (fractional coordinates):
Y1 0.0000 0.0000 0.2500
Y2 0.0000 0.0000 0.7500
Zn1 0.3333 0.6667 0.1186
Zn2 0.3333 0.6667 0.3814
Zn3 0.6667 0.3333 0.6186
Zn4 0.6667 0.3333 0.8814
Ag1 0.0000 0.0000 0.0000
Ag2 0.0000 0.0000 0.5000
Ag3 0.3333 0.6667 0.6074
Ag4 0.3333 0.6667 0.8926
Ag5 0.6667 0.3333 0.1074
Ag6 0.6667 0.3333 0.3926